TcNiO2: optimized geometry, PBE+U.

## Properties
energy above the lowest structure with this stoichiometry	154	meV/atom
V	12.96	Å³/atom
total energy	-6.452	eV/atom
Fermi-level density of states	0.0	states/eV/cell

a = 3.7905 Å, b = 5.2385 Å, c = 5.9262 Å
α = 104.13°, β = 101.28°, γ = 108.07°
With the nearest neighbours (Å) after each atom.
Space group P1 (No. 1)
Inequivalent atoms, fractional coordinates:
Tc (0.0000, 0.0000, 0.0000) [1 per cell]  3 O 1.92-2.09
Tc (0.2412, 0.6916, 0.8273) [1 per cell]  3 O 1.97-2.11
Ni (0.4572, 0.1702, 0.6262) [1 per cell]  4 O 1.97-2.10
Ni (0.6512, 0.6458, 0.4176) [1 per cell]  4 O 1.94-2.01
O (0.0259, 0.2512, 0.7732) [1 per cell]  2 Ni 2.03-2.10, 2 Tc 2.09-2.11
O (0.2151, 0.7466, 0.5078) [1 per cell]  3 Ni 1.96-2.01, 1 Tc 1.97
O (0.3631, 0.2366, 0.3114) [1 per cell]  1 Tc 1.92, 2 Ni 1.95-1.97
O (0.6412, 0.7349, 0.1180) [1 per cell]  1 Ni 1.94, 2 Tc 1.97-1.99